CsFeP3 | PBE | optimized geometry

For the total moment, the calculation gives 0.0009 μB per atom. Its uncorrected energy is -22.892 eV per formula unit. The calculated formation energy comes out at 0.531 eV/atom. As for the calculated volume: 101.3 Å³/cell. As for the polymorph energy (0 for the lowest one): 0 meV/atom. The density of states at the Fermi level is 1.53 states/eV per atom.

The structure belongs to space group Pm-3m (No. 221); the cell edges are 4.6619, 4.6619 and 4.6619 Å and the angles 90.00°, 90.00° and 90.00°. The inequivalent atoms are Cs at (0.0000, 0.0000, 0.0000), Fe at (0.5000, 0.5000, 0.5000) and P at (0.0000, 0.5000, 0.5000).

***

CsFeP2 | PBE | optimized geometry

For the total moment, the calculation gives 0.7790 μB per atom. Its uncorrected energy is -15.675 eV per formula unit. The calculated formation energy comes out at 1.115 eV/atom. As for the calculated volume: 353.7 Å³/cell. As for the polymorph energy (0 for the lowest one): 1336 meV/atom. The density of states at the Fermi level is 0.89 states/eV per atom.

The structure belongs to space group Fm-3m (No. 225); the cell edges are 7.0720, 7.0720 and 7.0720 Å and the angles 90.00°, 90.00° and 90.00°. The inequivalent atoms are Cs at (0.0000, 0.0000, 0.0000), Fe at (0.0000, 0.0000, 0.5000) and P at (0.2500, 0.2500, 0.2500).

***

CsFeP2S | PBE | optimized geometry

For the total moment, the calculation gives 0.2064 μB per atom. Its uncorrected energy is -11.155 eV per formula unit. The formation energy (no corrections) comes out at 2.6218 eV/atom. As for the calculated volume: 161.8 Å³/cell. The density of states at the Fermi level is 1.77 states/eV per atom.

The structure belongs to space group P4/mmm (No. 123); the cell edges are 5.5554, 5.5554 and 5.2424 Å and the angles 90.00°, 90.00° and 90.00°. The inequivalent atoms are Cs at (0.0000, 0.0000, 0.0000), Fe at (0.5000, 0.5000, 0.5000), P at (0.0000, 0.5000, 0.0000) and S at (0.0000, 0.0000, 0.5000).

***

CsFeP2S8 | PBE | optimized geometry

For the total moment, the calculation gives 0.2496 μB per atom. Its uncorrected energy is -56.613 eV per formula unit. The formation energy (no corrections) comes out at -0.2882 eV/atom. As for the calculated volume: 303.2 Å³/cell. The density of states at the Fermi level is 0.50 states/eV per atom.

The structure belongs to space group P-3 (No. 147); the cell edges are 5.8141, 5.8141 and 10.3586 Å and the angles 90.00°, 90.00° and 120.00°. The inequivalent atoms are Cs at (0.0000, 0.0000, 0.0000), Fe at (0.0000, 0.0000, 0.5000), P at (0.3333, 0.6667, 0.6856), S at (0.0100, 0.6864, 0.3698) and S at (0.3333, 0.6667, 0.8781).

***

CsFePS2 | PBE | optimized geometry

For the total moment, the calculation gives 0.9993 μB per atom. Its uncorrected energy is -13.073 eV per formula unit. The formation energy (no corrections) comes out at 1.9815 eV/atom. As for the calculated volume: 163.4 Å³/cell. The density of states at the Fermi level is 0.93 states/eV per atom.

The structure belongs to space group P4/mmm (No. 123); the cell edges are 5.3407, 5.3407 and 5.7286 Å and the angles 90.00°, 90.00° and 90.00°. The inequivalent atoms are Cs at (0.0000, 0.0000, 0.0000), Fe at (0.5000, 0.5000, 0.5000), P at (0.0000, 0.0000, 0.5000) and S at (0.0000, 0.5000, 0.0000).

***

CsScFeP2 | PBE | optimized geometry

For the total moment, the calculation gives 0.4638 μB per atom. Its uncorrected energy is -17.060 eV per formula unit. The calculated formation energy comes out at 1.882 eV/atom. As for the calculated volume: 137.3 Å³/cell. The density of states at the Fermi level is 1.65 states/eV per atom.

The structure belongs to space group P4/mmm (No. 123); the cell edges are 5.3384, 5.3384 and 4.8185 Å and the angles 90.00°, 90.00° and 90.00°. The inequivalent atoms are Cs at (0.0000, 0.0000, 0.0000), Sc at (0.5000, 0.5000, 0.5000), Fe at (0.0000, 0.0000, 0.5000) and P at (0.0000, 0.5000, 0.0000).

***

CsPaFeS3 | PBE | optimized geometry

For the total moment, the calculation gives 0.3261 μB per atom. Its uncorrected energy is -38.694 eV per formula unit. The formation energy (no corrections) comes out at -1.2500 eV/atom. As for the calculated volume: 328.0 Å³/cell. The density of states at the Fermi level is 0.64 states/eV per atom.

The structure belongs to space group P2_1/m (No. 11); the cell edges are 9.4767, 3.9196 and 9.7602 Å and the angles 90.00°, 115.23° and 90.00°. The inequivalent atoms are Cs at (0.2169, 0.2500, 0.2466), Pa at (0.3083, 0.7500, 0.8261), Fe at (0.0845, 0.2500, 0.5945), S at (0.1237, 0.2500, 0.8476), S at (0.1866, 0.7500, 0.5272) and S at (0.4727, 0.7500, 0.1417).

***

CsPaFe2S4 | PBE | optimized geometry

For the total moment, the calculation gives 0.7501 μB per atom. Its uncorrected energy is -49.219 eV per formula unit. The formation energy (no corrections) comes out at -0.6793 eV/atom. As for the calculated volume: 496.5 Å³/cell. The density of states at the Fermi level is 0.60 states/eV per atom.

The structure belongs to space group I222 (No. 23); the cell edges are 5.9691, 8.6932 and 9.5683 Å and the angles 90.00°, 90.00° and 90.00°. The inequivalent atoms are Cs at (0.0000, 0.0000, 0.0000), Pa at (0.0000, 0.0000, 0.5000), Fe at (0.0000, 0.5000, 0.1249) and S at (0.2358, 0.1713, 0.3329).

***

Cs2PaFeS5 | PBE | optimized geometry

For the total moment, the calculation gives 0.5567 μB per atom. Its uncorrected energy is -50.620 eV per formula unit. The formation energy (no corrections) comes out at -1.1463 eV/atom. As for the calculated volume: 1212.1 Å³/cell. The density of states at the Fermi level is 0.14 states/eV per atom.

The structure belongs to space group Cmc2_1 (No. 36); the cell edges are 4.1544, 19.8858 and 14.6723 Å and the angles 90.00°, 90.00° and 90.00°. The inequivalent atoms are Cs at (0.0000, 0.1200, 0.0000), Cs at (0.0000, 0.1263, 0.6453), Pa at (0.0000, 0.1978, 0.3409), Fe at (0.0000, 0.4297, 0.7477), S at (0.0000, 0.0617, 0.3277), S at (0.0000, 0.3046, 0.9553), S at (0.0000, 0.3146, 0.7162), S at (0.0000, 0.3215, 0.3240) and S at (0.0000, 0.4873, 0.6258).

***

CsFePb3 | PBE | optimized geometry

For the total moment, the calculation gives 0.5716 μB per atom. Its uncorrected energy is -19.380 eV per formula unit. The calculated formation energy comes out at 0.212 eV/atom. As for the calculated volume: 159.1 Å³/cell. The density of states at the Fermi level is 0.30 states/eV per atom.

The structure belongs to space group Pm-3m (No. 221); the cell edges are 5.4190, 5.4190 and 5.4190 Å and the angles 90.00°, 90.00° and 90.00°. The inequivalent atoms are Cs at (0.0000, 0.0000, 0.0000), Fe at (0.5000, 0.5000, 0.5000) and Pb at (0.0000, 0.5000, 0.5000).

***

Cs3FePb | PBE | optimized geometry

For the total moment, the calculation gives 0.7870 μB per atom. Its uncorrected energy is -10.671 eV per formula unit. The calculated formation energy comes out at 0.812 eV/atom. As for the calculated volume: 413.4 Å³/cell. The density of states at the Fermi level is 2.35 states/eV per atom.

The structure belongs to space group Pm-3m (No. 221); the cell edges are 7.4495, 7.4495 and 7.4495 Å and the angles 90.00°, 90.00° and 90.00°. The inequivalent atoms are Cs at (0.0000, 0.0000, 0.5000), Fe at (0.5000, 0.5000, 0.5000) and Pb at (0.0000, 0.0000, 0.0000).

***

CsFe3Pb | PBE | optimized geometry

For the total moment, the calculation gives 1.7785 μB per atom. Its uncorrected energy is -22.459 eV per formula unit. The calculated formation energy comes out at 1.498 eV/atom. As for the calculated volume: 124.6 Å³/cell. As for the polymorph energy (0 for the lowest one): 0 meV/atom. The density of states at the Fermi level is 2.00 states/eV per atom.

The structure belongs to space group Pm-3m (No. 221); the cell edges are 4.9943, 4.9943 and 4.9943 Å and the angles 90.00°, 90.00° and 90.00°. The inequivalent atoms are Cs at (0.0000, 0.0000, 0.0000), Fe at (0.0000, 0.5000, 0.5000) and Pb at (0.5000, 0.5000, 0.5000).

***

CsFe3Pb | PBE | optimized geometry

For the total moment, the calculation gives 1.5206 μB per atom. Its uncorrected energy is -18.375 eV per formula unit. The calculated formation energy comes out at 2.315 eV/atom. As for the calculated volume: 120.5 Å³/cell. As for the polymorph energy (0 for the lowest one): 817 meV/atom. The density of states at the Fermi level is 2.21 states/eV per atom.

The structure belongs to space group Pm-3m (No. 221); the cell edges are 4.9398, 4.9398 and 4.9398 Å and the angles 90.00°, 90.00° and 90.00°. The inequivalent atoms are Cs at (0.0000, 0.0000, 0.0000), Fe at (0.0000, 0.0000, 0.5000) and Pb at (0.5000, 0.5000, 0.5000).

***

CsYFe2Pb | PBE | optimized geometry

For the total moment, the calculation gives 0.7784 μB per atom. Its uncorrected energy is -18.948 eV per formula unit. The calculated formation energy comes out at 1.801 eV/atom. As for the calculated volume: 133.0 Å³/cell. The density of states at the Fermi level is 1.01 states/eV per atom.

The structure belongs to space group P4/mmm (No. 123); the cell edges are 4.8308, 4.8308 and 5.6977 Å and the angles 90.00°, 90.00° and 90.00°. The inequivalent atoms are Cs at (0.0000, 0.0000, 0.0000), Y at (0.0000, 0.0000, 0.5000), Fe at (0.0000, 0.5000, 0.0000) and Pb at (0.5000, 0.5000, 0.5000).

***

CsFe2Pd2 | PBE | optimized geometry

For the total moment, the calculation gives 1.3747 μB per atom. Its uncorrected energy is -25.194 eV per formula unit. The calculated formation energy comes out at 0.594 eV/atom. As for the calculated volume: 211.6 Å³/cell. The density of states at the Fermi level is 0.66 states/eV per atom.

The structure belongs to space group I4/mmm (No. 139); the cell edges are 4.5625, 4.5625 and 10.1672 Å and the angles 90.00°, 90.00° and 90.00°. The inequivalent atoms are Cs at (0.0000, 0.0000, 0.0000), Fe at (0.0000, 0.0000, 0.3729) and Pd at (0.0000, 0.5000, 0.2500).

***

CsFe2PdS4 | PBE | optimized geometry

For the total moment, the calculation gives 0.6302 μB per atom. Its uncorrected energy is -40.719 eV per formula unit. The formation energy (no corrections) comes out at -0.1547 eV/atom. As for the calculated volume: 431.2 Å³/cell. The density of states at the Fermi level is 0.41 states/eV per atom.

The structure belongs to space group I222 (No. 23); the cell edges are 5.0964, 8.3842 and 10.0915 Å and the angles 90.00°, 90.00° and 90.00°. The inequivalent atoms are Cs at (0.0000, 0.0000, 0.0000), Fe at (0.0000, 0.5000, 0.1121), Pd at (0.0000, 0.0000, 0.5000) and S at (0.1964, 0.1579, 0.3301).

***

CsFePdS2 | PBE | optimized geometry

For the total moment, the calculation gives 0.0002 μB per atom. Its uncorrected energy is -25.669 eV per formula unit. The formation energy (no corrections) comes out at -0.5811 eV/atom. As for the calculated volume: 447.3 Å³/cell. The density of states at the Fermi level is 0.85 states/eV per atom.

The structure belongs to space group Cmme (No. 67); the cell edges are 5.3938, 14.3320 and 5.7859 Å and the angles 90.00°, 90.00° and 90.00°. The inequivalent atoms are Cs at (0.0000, 0.2500, 0.2299), Fe at (0.2500, 0.0000, 0.5000), Pd at (0.0000, 0.0000, 0.0000) and S at (0.0000, 0.0960, 0.6821).

***

CsFeSbPd2 | PBE | optimized geometry

For the total moment, the calculation gives 0.0847 μB per atom. Its uncorrected energy is -18.182 eV per formula unit. The formation energy (no corrections) comes out at 1.1285 eV/atom. As for the calculated volume: 122.0 Å³/cell. The density of states at the Fermi level is 1.51 states/eV per atom.

The structure belongs to space group P4/mmm (No. 123); the cell edges are 4.9100, 4.9100 and 5.0617 Å and the angles 90.00°, 90.00° and 90.00°. The inequivalent atoms are Cs at (0.0000, 0.0000, 0.0000), Fe at (0.0000, 0.0000, 0.5000), Sb at (0.5000, 0.5000, 0.0000) and Pd at (0.0000, 0.5000, 0.5000).

***

CsSc2FePd | PBE | optimized geometry

For the total moment, the calculation gives 0.0000 μB per atom. Its uncorrected energy is -23.843 eV per formula unit. The calculated formation energy comes out at 0.666 eV/atom. As for the calculated volume: 126.9 Å³/cell. The density of states at the Fermi level is 0.74 states/eV per atom.

The structure belongs to space group P4/mmm (No. 123); the cell edges are 4.7944, 4.7944 and 5.5217 Å and the angles 90.00°, 90.00° and 90.00°. The inequivalent atoms are Cs at (0.0000, 0.0000, 0.0000), Sc at (0.0000, 0.5000, 0.5000), Fe at (0.0000, 0.0000, 0.5000) and Pd at (0.5000, 0.5000, 0.0000).

***

CsFe2PdSe4 | PBE | optimized geometry

For the total moment, the calculation gives 0.8459 μB per atom. Its uncorrected energy is -38.144 eV per formula unit. The formation energy (no corrections) comes out at -0.1543 eV/atom. As for the calculated volume: 454.1 Å³/cell. The density of states at the Fermi level is 0.58 states/eV per atom.

The structure belongs to space group I222 (No. 23); the cell edges are 4.8752, 9.2888 and 10.0286 Å and the angles 90.00°, 90.00° and 90.00°. The inequivalent atoms are Cs at (0.0000, 0.0000, 0.0000), Fe at (0.0000, 0.5000, 0.1190), Pd at (0.0000, 0.0000, 0.5000) and Se at (0.1930, 0.1873, 0.3445).